No. 1
This record from the Alexandria database describes an optimized crystal structure of AcPm2NdSb4. The functional is GGA-PBE.

a = 4.582 Å, b = 7.932 Å, c = 7.934 Å
α = 70.56°, β = 90.00°, γ = 90.00°
Fractional positions:
Sb (0.000, 0.762, 0.740)
Pm (0.000, 0.000, 0.000)
Ac (0.500, 0.500, 0.000)
Sb (0.500, 0.757, 0.254)
Sb (0.000, 0.238, 0.260)
Pm (0.500, 0.000, 0.500)
Nd (0.000, 0.500, 0.500)
Sb (0.500, 0.243, 0.746)

Results
As for the space group: P2/m (10). Its density of states at the Fermi level is 0.90 states/eV/cell. The volume is 34.0 A^3/atom. The calculation puts the energy relative to the elements, uncorrected at -9.425 eV per formula unit. As for the electronic total energy: -5.537 eV per atom.


No. 2
This record from the Alexandria database describes an optimized crystal structure of CeNdHgGe. The functional is GGA-PBE.

a = 5.301 Å, b = 5.301 Å, c = 5.301 Å
α = 60.00°, β = 60.00°, γ = 60.00°
Fractional positions:
Ce (0.000, 0.000, 0.000)
Ge (0.250, 0.250, 0.250)
Nd (0.500, 0.500, 0.500)
Hg (0.750, 0.750, 0.750)

Results
As for the space group: F-43m (216). Its density of states at the Fermi level is 9.75 states/eV/cell. The volume is 26.3 A^3/atom. The calculation puts the calculated formation energy at -0.49 eV/atom. As for the electronic total energy: -4.398 eV per atom.


No. 3
This record from the Alexandria database describes an optimized crystal structure of SrTc2As. The functional is GGA-PBE.

a = 4.033 Å, b = 3.432 Å, c = 6.252 Å
α = 87.92°, β = 90.00°, γ = 90.00°
Fractional positions:
Sr (0.500, 0.866, 0.717)
Tc (0.000, 0.907, 0.157)
As (0.000, 0.390, 0.447)
Tc (0.500, 0.337, 0.179)

Results
As for the space group: Pm (6). Its density of states at the Fermi level is 4.59 states/eV/cell. The volume is 21.6 A^3/atom. The calculation puts the calculated formation energy at 0.09 eV/atom. As for the electronic total energy: -6.679 eV per atom.


No. 4
This record from the Alexandria database describes an optimized crystal structure of BeAlCd3. The functional is GGA-PBE.

a = 4.763 Å, b = 4.763 Å, c = 4.763 Å
α = 90.00°, β = 90.00°, γ = 90.00°
Fractional positions:
Cd (0.500, 0.000, 0.000)
Be (0.000, 0.000, 0.000)
Cd (0.000, 0.000, 0.500)
Al (0.500, 0.500, 0.500)
Cd (0.000, 0.500, 0.000)

Results
As for the space group: Pm-3m (221). Its density of states at the Fermi level is 1.18 states/eV/cell. The volume is 21.6 A^3/atom. The calculation puts the calculated formation energy at 0.40 eV/atom. As for the electronic total energy: -1.647 eV per atom. For the relative energy among the computed polymorphs, the calculation gives 0 meV per atom.


No. 5
This record from the Alexandria database describes an optimized crystal structure of Pr3Zr5H12. The functional is GGA-PBE.

a = 11.009 Å, b = 11.009 Å, c = 11.009 Å
α = 109.47°, β = 109.47°, γ = 109.47°
Fractional positions:
H (0.047, 0.414, 0.835)
Pr (0.875, 0.125, 0.250)
H (0.165, 0.086, 0.953)
H (0.665, 0.453, 0.586)
H (0.414, 0.367, 0.579)
Pr (0.125, 0.875, 0.750)
H (0.712, 0.133, 0.047)
Pr (0.250, 0.625, 0.875)
Pr (0.750, 0.375, 0.125)
H (0.288, 0.421, 0.835)
H (0.921, 0.086, 0.633)
Pr (0.125, 0.250, 0.875)
Zr (0.250, 0.375, 0.625)
H (0.579, 0.867, 0.414)
Zr (0.500, 0.000, 0.000)
H (0.914, 0.079, 0.867)
H (0.086, 0.165, 0.453)
H (0.453, 0.665, 0.086)
H (0.079, 0.914, 0.367)
H (0.835, 0.914, 0.047)
H (0.712, 0.579, 0.165)
H (0.133, 0.421, 0.086)
H (0.579, 0.712, 0.665)
Zr (0.500, 0.000, 0.500)
H (0.047, 0.633, 0.712)
H (0.586, 0.633, 0.421)
Pr (0.375, 0.750, 0.625)
H (0.335, 0.547, 0.414)
H (0.788, 0.453, 0.367)
Pr (0.625, 0.375, 0.750)
Zr (0.625, 0.750, 0.875)
Zr (0.500, 0.500, 0.000)
H (0.914, 0.835, 0.547)
H (0.953, 0.586, 0.165)
Zr (0.500, 0.500, 0.500)
H (0.212, 0.547, 0.633)
Pr (0.250, 0.125, 0.375)
Zr (0.750, 0.625, 0.375)
H (0.421, 0.133, 0.586)
H (0.835, 0.921, 0.288)
H (0.633, 0.586, 0.921)
H (0.921, 0.835, 0.788)
H (0.547, 0.212, 0.133)
H (0.086, 0.921, 0.133)
H (0.414, 0.047, 0.335)
H (0.547, 0.335, 0.914)
Zr (0.875, 0.625, 0.750)
Zr (0.000, 0.500, 0.000)
Zr (0.250, 0.875, 0.125)
H (0.633, 0.047, 0.212)
Pr (0.625, 0.250, 0.375)
Zr (0.125, 0.375, 0.250)
H (0.288, 0.867, 0.953)
H (0.665, 0.212, 0.579)
H (0.788, 0.335, 0.921)
H (0.367, 0.953, 0.788)
Zr (0.000, 0.000, 0.500)
Pr (0.875, 0.750, 0.125)
Zr (0.375, 0.125, 0.750)
Zr (0.000, 0.000, 0.000)
H (0.212, 0.665, 0.079)
Zr (0.750, 0.125, 0.875)
H (0.867, 0.288, 0.453)
Zr (0.125, 0.750, 0.375)
H (0.133, 0.712, 0.547)
Zr (0.375, 0.250, 0.125)
H (0.453, 0.788, 0.867)
H (0.335, 0.788, 0.421)
H (0.421, 0.288, 0.335)
Pr (0.375, 0.625, 0.250)
H (0.953, 0.367, 0.288)
H (0.079, 0.165, 0.212)
Pr (0.750, 0.875, 0.625)
H (0.367, 0.414, 0.079)
Zr (0.875, 0.250, 0.625)
H (0.586, 0.953, 0.665)
H (0.165, 0.079, 0.712)
Zr (0.000, 0.500, 0.500)
H (0.867, 0.579, 0.914)
Zr (0.625, 0.875, 0.250)

Results
As for the space group: Ia-3d (230). Its density of states at the Fermi level is 49.25 states/eV/cell. The volume is 12.8 A^3/atom. As for the electronic total energy: -5.265 eV per atom.


No. 6
This record from the Alexandria database describes an optimized crystal structure of YAu2Cl. The functional is GGA-PBE.

a = 7.805 Å, b = 7.805 Å, c = 7.805 Å
α = 31.43°, β = 31.43°, γ = 31.43°
Fractional positions:
Au (0.282, 0.282, 0.282)
Au (0.006, 0.006, 0.006)
Y (0.738, 0.738, 0.738)
Cl (0.473, 0.473, 0.473)

Results
As for the space group: R3m (160). The volume is 28.7 A^3/atom. The calculation puts the energy relative to the elements, uncorrected at -3.483 eV per formula unit. As for the electronic total energy: -4.587 eV per atom.


No. 7
This record from the Alexandria database describes an optimized crystal structure of TiNbGeRh2. The functional is GGA-PBE.

a = 4.464 Å, b = 4.786 Å, c = 4.464 Å
α = 90.00°, β = 90.00°, γ = 90.00°
Fractional positions:
Nb (0.000, 0.500, 0.000)
Ti (0.500, 0.500, 0.500)
Rh (0.500, 0.000, 0.000)
Ge (0.000, 0.000, 0.000)
Rh (0.000, 0.000, 0.500)

Results
As for the space group: P4/mmm (123). Its density of states at the Fermi level is 6.52 states/eV/cell. The volume is 19.1 A^3/atom. The calculation puts the calculated formation energy at 0.50 eV/atom. As for the electronic total energy: -6.956 eV per atom. For the relative energy among the computed polymorphs, the calculation gives 0 meV per atom.


No. 8
This record from the Alexandria database describes an optimized crystal structure of RbIr5S8. The functional is GGA-PBE.

a = 3.589 Å, b = 8.665 Å, c = 9.446 Å
α = 107.17°, β = 100.95°, γ = 90.00°
Fractional positions:
S (0.236, 0.147, 0.472)
S (0.178, 0.480, 0.357)
Ir (0.658, 0.962, 0.316)
Rb (0.500, 0.500, 0.001)
Ir (0.701, 0.325, 0.402)
S (0.916, 0.170, 0.832)
Ir (0.342, 0.038, 0.683)
S (0.084, 0.830, 0.168)
S (0.822, 0.520, 0.643)
S (0.764, 0.853, 0.528)
Ir (0.299, 0.675, 0.598)
Ir (0.000, 0.000, 0.000)
S (0.579, 0.124, 0.158)
S (0.421, 0.876, 0.841)

Results
As for the space group: Cm (8). The volume is 19.6 A^3/atom. The calculation puts the energy relative to the elements, uncorrected at -5.622 eV per formula unit. As for the electronic total energy: -5.994 eV per atom.


No. 9
This record from the Alexandria database describes an optimized crystal structure of PaGa2H. The functional is GGA-PBE.

a = 5.090 Å, b = 3.610 Å, c = 3.610 Å
α = 90.00°, β = 90.00°, γ = 90.00°
Fractional positions:
Ga (0.000, 0.000, 0.500)
H (0.500, 0.000, 0.000)
Ga (0.000, 0.500, 0.000)
Pa (0.500, 0.500, 0.500)

Results
As for the space group: P4/mmm (123). Its density of states at the Fermi level is 3.26 states/eV/cell. The volume is 16.6 A^3/atom. As for the electronic total energy: -4.780 eV per atom. For the relative energy among the computed polymorphs, the calculation gives 8 meV per atom.


No. 10
This record from the Alexandria database describes an optimized crystal structure of PrNd2Zn. The functional is GGA-PBE.

a = 3.555 Å, b = 3.555 Å, c = 11.859 Å
α = 81.38°, β = 81.38°, γ = 60.00°
Fractional positions:
Nd (0.899, 0.899, 0.303)
Pr (0.000, 0.000, 0.000)
Zn (0.500, 0.500, 0.500)
Nd (0.101, 0.101, 0.697)

Results
As for the space group: R-3m (166). Its density of states at the Fermi level is 5.50 states/eV/cell. The volume is 32.0 A^3/atom. The calculation puts the calculated formation energy at 0.12 eV/atom. As for the electronic total energy: -3.780 eV per atom. For the relative energy among the computed polymorphs, the calculation gives 268 meV per atom.


> Which value of electronic total energy does entry 4 give?

-1.647 eV per atom